Tl2Cd2In5: optimized geometry, PBE.

CIF file:
```
data_Tl2Cd2In5
_chemical_formula_sum 'Tl2 Cd2 In5'
_cell_length_a 9.480
_cell_length_b 9.480
_cell_length_c 8.129
_cell_angle_alpha 101.46
_cell_angle_beta 101.46
_cell_angle_gamma 20.20
_symmetry_space_group_name_H-M 'P 1'
_symmetry_Int_Tables_number 1
_symmetry_space_group_name_Hall 'P 1'
loop_
_atom_site_label
_atom_site_type_symbol
_atom_site_fract_x
_atom_site_fract_y
_atom_site_fract_z
Tl1 Tl 0.067 0.067 0.188
Tl2 Tl 0.933 0.933 0.812
Cd1 Cd 0.326 0.326 0.493
Cd2 Cd 0.674 0.674 0.507
In1 In 0.264 0.264 0.824
In2 In 0.391 0.391 0.156
In3 In 0.500 0.500 0.500
In4 In 0.609 0.609 0.844
In5 In 0.736 0.736 0.176
```

Calculated values
Density ... 8.1 g/cm3
Volume ... 247.1 Å³ per cell

***

TlCdIn2: optimized geometry, PBE.

CIF file:
```
data_TlCdIn2
_chemical_formula_sum 'Tl1 Cd1 In2'
_cell_length_a 3.295
_cell_length_b 5.684
_cell_length_c 5.848
_cell_angle_alpha 90.00
_cell_angle_beta 92.87
_cell_angle_gamma 90.00
_symmetry_space_group_name_H-M 'P 1'
_symmetry_Int_Tables_number 1
_symmetry_space_group_name_Hall 'P 1'
loop_
_atom_site_label
_atom_site_type_symbol
_atom_site_fract_x
_atom_site_fract_y
_atom_site_fract_z
Tl1 Tl 0.000 0.000 0.000
Cd1 Cd 0.551 0.500 0.193
In1 In 0.134 0.500 0.683
In2 In 0.545 0.000 0.498
```

Calculated values
Density ... 8.3 g/cm3
Volume ... 109.4 Å³ per cell

***

TlCdIn3: optimized geometry, PBE.

CIF file:
```
data_TlCdIn3
_chemical_formula_sum 'Tl2 Cd2 In6'
_cell_length_a 7.654
_cell_length_b 7.654
_cell_length_c 5.867
_cell_angle_alpha 90.00
_cell_angle_beta 90.00
_cell_angle_gamma 120.15
_symmetry_space_group_name_H-M 'P 1'
_symmetry_Int_Tables_number 1
_symmetry_space_group_name_Hall 'P 1'
loop_
_atom_site_label
_atom_site_type_symbol
_atom_site_fract_x
_atom_site_fract_y
_atom_site_fract_z
Tl1 Tl 0.167 0.833 0.750
Tl2 Tl 0.833 0.167 0.250
Cd1 Cd 0.500 0.500 0.000
Cd2 Cd 0.500 0.500 0.500
In1 In 0.104 0.303 0.750
In2 In 0.303 0.104 0.250
In3 In 0.303 0.697 0.250
In4 In 0.697 0.303 0.750
In5 In 0.697 0.896 0.750
In6 In 0.896 0.697 0.250
```

Calculated values
Density ... 7.4 g/cm3
Offset from the most stable computed form ... 0.0751 eV/atom
Volume ... 297.2 Å³ per cell

***

Tl8Cd3In2: optimized geometry, PBE.

CIF file:
```
data_Tl8Cd3In2
_chemical_formula_sum 'Tl8 Cd3 In2'
_cell_length_a 9.832
_cell_length_b 9.832
_cell_length_c 5.278
_cell_angle_alpha 90.00
_cell_angle_beta 90.00
_cell_angle_gamma 128.89
_symmetry_space_group_name_H-M 'P 1'
_symmetry_Int_Tables_number 1
_symmetry_space_group_name_Hall 'P 1'
loop_
_atom_site_label
_atom_site_type_symbol
_atom_site_fract_x
_atom_site_fract_y
_atom_site_fract_z
Tl1 Tl 0.113 0.887 0.000
Tl2 Tl 0.190 0.403 0.500
Tl3 Tl 0.324 0.676 0.000
Tl4 Tl 0.403 0.190 0.500
Tl5 Tl 0.597 0.810 0.500
Tl6 Tl 0.676 0.324 0.000
Tl7 Tl 0.810 0.597 0.500
Tl8 Tl 0.887 0.113 0.000
Cd1 Cd 0.000 0.000 0.500
Cd2 Cd 0.322 0.322 0.000
Cd3 Cd 0.678 0.678 0.000
In1 In 0.224 0.776 0.500
In2 In 0.776 0.224 0.500
```

Calculated values
Density ... 9.2 g/cm3
Volume ... 397.2 Å³ per cell

***

Tl6Cd3In: optimized geometry, PBE.

CIF file:
```
data_Tl6Cd3In
_chemical_formula_sum 'Tl6 Cd3 In1'
_cell_length_a 6.741
_cell_length_b 6.741
_cell_length_c 7.660
_cell_angle_alpha 90.00
_cell_angle_beta 90.00
_cell_angle_gamma 120.00
_symmetry_space_group_name_H-M 'P 1'
_symmetry_Int_Tables_number 1
_symmetry_space_group_name_Hall 'P 1'
loop_
_atom_site_label
_atom_site_type_symbol
_atom_site_fract_x
_atom_site_fract_y
_atom_site_fract_z
Tl1 Tl 0.000 0.399 0.304
Tl2 Tl 0.000 0.601 0.696
Tl3 Tl 0.399 0.000 0.304
Tl4 Tl 0.399 0.399 0.696
Tl5 Tl 0.601 0.000 0.696
Tl6 Tl 0.601 0.601 0.304
Cd1 Cd 0.000 0.000 0.000
Cd2 Cd 0.333 0.667 0.000
Cd3 Cd 0.667 0.333 0.000
In1 In 0.000 0.000 0.500
```

Calculated values
Density ... 9.2 g/cm3
Volume ... 301.4 Å³ per cell

***

Tl7CdIn5: optimized geometry, PBE.

CIF file:
```
data_Tl7CdIn5
_chemical_formula_sum 'Tl7 Cd1 In5'
_cell_length_a 8.761
_cell_length_b 8.761
_cell_length_c 5.452
_cell_angle_alpha 102.25
_cell_angle_beta 102.25
_cell_angle_gamma 72.99
_symmetry_space_group_name_H-M 'P 1'
_symmetry_Int_Tables_number 1
_symmetry_space_group_name_Hall 'P 1'
loop_
_atom_site_label
_atom_site_type_symbol
_atom_site_fract_x
_atom_site_fract_y
_atom_site_fract_z
Tl1 Tl 0.000 0.000 0.000
Tl2 Tl 0.052 0.391 0.281
Tl3 Tl 0.391 0.052 0.281
Tl4 Tl 0.563 0.864 0.780
Tl5 Tl 0.594 0.594 0.185
Tl6 Tl 0.838 0.838 0.375
Tl7 Tl 0.864 0.563 0.780
Cd1 Cd 0.199 0.199 0.762
In1 In 0.218 0.597 0.962
In2 In 0.224 0.804 0.521
In3 In 0.428 0.428 0.516
In4 In 0.597 0.218 0.962
In5 In 0.804 0.224 0.521
```

Calculated values
Density ... 9.1 g/cm3
Volume ... 385.9 Å³ per cell

***

TlCd5In7: optimized geometry, PBE.

CIF file:
```
data_TlCd5In7
_chemical_formula_sum 'Tl1 Cd5 In7'
_cell_length_a 8.310
_cell_length_b 8.310
_cell_length_c 8.310
_cell_angle_alpha 139.87
_cell_angle_beta 98.58
_cell_angle_gamma 94.95
_symmetry_space_group_name_H-M 'P 1'
_symmetry_Int_Tables_number 1
_symmetry_space_group_name_Hall 'P 1'
loop_
_atom_site_label
_atom_site_type_symbol
_atom_site_fract_x
_atom_site_fract_y
_atom_site_fract_z
Tl1 Tl 0.000 0.000 0.000
Cd1 Cd 0.000 0.004 0.496
Cd2 Cd 0.000 0.504 0.996
Cd3 Cd 0.509 0.004 0.004
Cd4 Cd 0.509 0.504 0.504
Cd5 Cd 0.789 0.289 0.500
In1 In 0.201 0.504 0.697
In2 In 0.219 0.719 0.500
In3 In 0.356 0.004 0.352
In4 In 0.361 0.361 0.000
In5 In 0.646 0.646 0.000
In6 In 0.652 0.004 0.648
In7 In 0.807 0.504 0.303
```

Calculated values
Density ... 7.5 g/cm3
Volume ... 347.2 Å³ per cell

***

Tl9Cd2In: optimized geometry, PBE.

CIF file:
```
data_Tl9Cd2In
_chemical_formula_sum 'Tl9 Cd2 In1'
_cell_length_a 4.914
_cell_length_b 4.914
_cell_length_c 14.543
_cell_angle_alpha 90.00
_cell_angle_beta 90.00
_cell_angle_gamma 90.00
_symmetry_space_group_name_H-M 'P 1'
_symmetry_Int_Tables_number 1
_symmetry_space_group_name_Hall 'P 1'
loop_
_atom_site_label
_atom_site_type_symbol
_atom_site_fract_x
_atom_site_fract_y
_atom_site_fract_z
Tl1 Tl 0.000 0.000 0.000
Tl2 Tl 0.000 0.000 0.336
Tl3 Tl 0.000 0.000 0.664
Tl4 Tl 0.000 0.500 0.170
Tl5 Tl 0.000 0.500 0.500
Tl6 Tl 0.000 0.500 0.830
Tl7 Tl 0.500 0.000 0.170
Tl8 Tl 0.500 0.000 0.500
Tl9 Tl 0.500 0.000 0.830
Cd1 Cd 0.500 0.500 0.335
Cd2 Cd 0.500 0.500 0.665
In1 In 0.500 0.500 0.000
```

Calculated values
Density ... 10.3 g/cm3
Volume ... 351.2 Å³ per cell

***

Tl7Cd2In2: optimized geometry, PBE.

CIF file:
```
data_Tl7Cd2In2
_chemical_formula_sum 'Tl7 Cd2 In2'
_cell_length_a 10.146
_cell_length_b 10.146
_cell_length_c 10.146
_cell_angle_alpha 158.20
_cell_angle_beta 64.09
_cell_angle_gamma 120.56
_symmetry_space_group_name_H-M 'P 1'
_symmetry_Int_Tables_number 1
_symmetry_space_group_name_Hall 'P 1'
loop_
_atom_site_label
_atom_site_type_symbol
_atom_site_fract_x
_atom_site_fract_y
_atom_site_fract_z
Tl1 Tl 0.000 0.000 0.000
Tl2 Tl 0.318 0.650 0.668
Tl3 Tl 0.338 0.441 0.897
Tl4 Tl 0.544 0.441 0.103
Tl5 Tl 0.588 0.237 0.351
Tl6 Tl 0.886 0.237 0.649
Tl7 Tl 0.981 0.650 0.332
Cd1 Cd 0.253 0.753 0.500
Cd2 Cd 0.699 0.699 0.000
In1 In 0.183 0.938 0.245
In2 In 0.692 0.938 0.755
```

Calculated values
Density ... 9.4 g/cm3
Offset from the most stable computed form ... 0.0148 eV/atom
Volume ... 332.0 Å³ per cell

***

TlCd11In17: optimized geometry, PBE.

CIF file:
```
data_TlCd11In17
_chemical_formula_sum 'Tl1 Cd11 In17'
_cell_length_a 9.944
_cell_length_b 9.944
_cell_length_c 9.865
_cell_angle_alpha 109.42
_cell_angle_beta 109.42
_cell_angle_gamma 109.70
_symmetry_space_group_name_H-M 'P 1'
_symmetry_Int_Tables_number 1
_symmetry_space_group_name_Hall 'P 1'
loop_
_atom_site_label
_atom_site_type_symbol
_atom_site_fract_x
_atom_site_fract_y
_atom_site_fract_z
Tl1 Tl 0.000 0.000 0.000
Cd1 Cd 0.004 0.812 0.202
Cd2 Cd 0.250 0.622 0.628
Cd3 Cd 0.253 0.438 0.819
Cd4 Cd 0.437 0.627 0.443
Cd5 Cd 0.438 0.253 0.819
Cd6 Cd 0.442 0.813 0.007
Cd7 Cd 0.622 0.250 0.628
Cd8 Cd 0.627 0.437 0.443
Cd9 Cd 0.811 0.811 0.614
Cd10 Cd 0.812 0.004 0.202
Cd11 Cd 0.813 0.442 0.007
In1 In 0.034 0.351 0.228
In2 In 0.040 0.040 0.542
In3 In 0.219 0.628 0.128
In4 In 0.226 0.934 0.817
In5 In 0.287 0.287 0.477
In6 In 0.317 0.909 0.511
In7 In 0.324 0.324 0.102
In8 In 0.351 0.034 0.228
In9 In 0.622 0.622 0.813
In10 In 0.622 0.963 0.816
In11 In 0.623 0.937 0.412
In12 In 0.628 0.219 0.128
In13 In 0.632 0.632 0.158
In14 In 0.909 0.317 0.511
In15 In 0.934 0.226 0.817
In16 In 0.937 0.623 0.412
In17 In 0.963 0.622 0.816
```

Calculated values
Density ... 7.5 g/cm3
Volume ... 749.8 Å³ per cell

***

no.,energy of formation (eV per atom)
1,0.036
2,0.043
3,0.107
4,0.084
5,0.109
6,0.056
7,0.040
8,0.047
9,0.056
10,0.027